Entry 1:
Entry from Alexandria via LeMat-Bulk: crystalline Tl2InCl at its relaxed geometry (PBE).

Uncorrected energy, eV/cell: -10.49
Uncorrected formation energy, eV per atom: -0.293
Fermi-level density of states, states/eV per cell: 2.0

Cell and atoms, written as extended XYZ:
```
4
Lattice="1.947 -2.943 0.000 1.947 2.943 0.000 0.000 0.000 10.209" Properties=species:S:1:pos:R:3 pbc="T T T"
Tl 0.000 0.000 0.000
Tl 1.947 0.000 2.851
In 0.000 0.000 5.595
Cl 1.947 0.000 7.691
```

Entry 2:
Entry from Alexandria via LeMat-Bulk: crystalline TlInCl2 at its relaxed geometry (PBE).

Uncorrected energy, eV/cell: -12.41
Uncorrected formation energy, eV per atom: -0.903
Fermi-level density of states, states/eV per cell: 0.0

Cell and atoms, written as extended XYZ:
```
4
Lattice="3.980 -2.285 0.000 3.980 2.285 0.000 -2.617 0.000 7.466" Properties=species:S:1:pos:R:3 pbc="T T T"
Tl 0.000 0.000 0.000
In 2.671 0.000 3.733
Cl 0.028 0.000 5.578
Cl 5.314 0.000 1.888
```

Entry 3:
Entry from Alexandria via LeMat-Bulk: crystalline TlInCl6 at its relaxed geometry (PBE).

Uncorrected energy, eV/cell: -22.61
Uncorrected formation energy, eV per atom: -0.803

Cell and atoms, written as extended XYZ:
```
8
Lattice="3.252 1.878 5.866 -3.252 1.878 5.866 0.000 -3.755 5.866" Properties=species:S:1:pos:R:3 pbc="T T T"
Tl 0.000 0.000 0.000
In 0.000 0.000 8.800
Cl -2.125 -0.012 7.362
Cl -1.052 -1.846 10.237
Cl 1.073 -1.834 7.362
Cl -1.073 1.834 10.237
Cl 1.052 1.846 7.362
Cl 2.125 0.012 10.237
```

Entry 4:
Entry from Alexandria via LeMat-Bulk: crystalline Tl2InCl at its relaxed geometry (PBE).

Uncorrected energy, eV/cell: -10.47
Uncorrected formation energy, eV per atom: -0.289
Fermi-level density of states, states/eV per cell: 1.2

Cell and atoms, written as extended XYZ:
```
4
Lattice="3.579 0.000 0.000 0.000 3.579 0.000 0.000 0.000 9.310" Properties=species:S:1:pos:R:3 pbc="T T T"
Tl 0.000 0.000 0.000
Tl 1.790 1.790 2.789
In 1.790 1.790 7.086
Cl 0.000 0.000 4.627
```

Entry 5:
Entry from Alexandria via LeMat-Bulk: crystalline Tl2In2Cl at its relaxed geometry (PBE).

Uncorrected energy, eV/cell: -26.09
Uncorrected formation energy, eV per atom: -0.198
Fermi-level density of states, states/eV per cell: 3.7

Cell and atoms, written as extended XYZ:
```
10
Lattice="8.246 0.000 0.000 0.000 8.246 0.000 0.000 0.000 4.469" Properties=species:S:1:pos:R:3 pbc="T T T"
Tl 1.271 2.852 0.000
Tl 2.852 6.975 0.000
Tl 5.394 1.271 0.000
Tl 6.975 5.394 0.000
In 1.253 5.376 2.234
In 2.870 1.253 2.234
In 5.376 6.992 2.234
In 6.992 2.870 2.234
Cl 0.000 0.000 2.234
Cl 4.123 4.123 2.234
```

Entry 6:
Entry from Alexandria via LeMat-Bulk: crystalline TlInCl2 at its relaxed geometry (PBE).

Uncorrected energy, eV/cell: -49.58
Uncorrected formation energy, eV per atom: -0.899
Fermi-level density of states, states/eV per cell: 0.0

Cell and atoms, written as extended XYZ:
```
16
Lattice="8.018 0.000 0.000 0.000 8.520 0.000 -2.286 0.000 7.478" Properties=species:S:1:pos:R:3 pbc="T T T"
Tl 0.999 0.600 2.241
Tl -0.144 3.660 5.980
Tl 5.875 4.860 1.498
Tl 4.732 7.920 5.237
In 1.576 4.960 2.801
In 0.433 7.821 6.540
In 5.299 0.699 0.938
In 4.156 3.561 4.677
Cl 0.650 6.041 0.281
Cl -0.493 6.740 4.020
Cl 2.244 1.517 4.899
Cl 3.387 2.743 1.160
Cl 2.344 5.777 6.318
Cl 3.487 7.004 2.579
Cl 6.225 1.780 3.458
Cl 5.082 2.480 7.197
```